Record 1
Computed, not measured: an optimized crystal structure of Ba2ScSi at the PBE level of DFT.

The space group is Pmmm (No. 47) and the conventional cell measures 3.816, 4.570 and 8.019 Å, with angles of 90.00, 90.00 and 90.00 degrees. The asymmetric unit holds Ba at (0.000, 0.000, 0.214), Sc at (0.500, 0.500, 0.500) and Si at (0.500, 0.500, 0.000).

The energy relative to the elements, uncorrected comes out at 19.9 kJ/mol of atoms.



Record 2
Computed, not measured: an optimized crystal structure of BaScSi at the PBE level of DFT.

The space group is P4/nmm (No. 129, origin choice 2) and the conventional cell measures 4.829, 4.829 and 7.533 Å, with angles of 90.00, 90.00 and 90.00 degrees. The asymmetric unit holds Ba at (0.250, 0.250, 0.145), Sc at (0.250, 0.750, 0.500) and Si at (0.250, 0.250, 0.680).

The energy relative to the elements, uncorrected comes out at -45.6 kJ/mol of atoms.



Record 3
Computed, not measured: an optimized crystal structure of Ba2ScSi at the PBE level of DFT.

The space group is Imm2 (No. 44) and the conventional cell measures 4.192, 5.669 and 12.009 Å, with angles of 90.00, 90.00 and 90.00 degrees. The asymmetric unit holds Ba at (0.000, 0.000, 0.000), Ba at (0.000, 0.500, 0.195), Sc at (0.000, 0.500, 0.811) and Si at (0.000, 0.000, 0.449).

The energy relative to the elements, uncorrected comes out at -8.3 kJ/mol of atoms.